Entry 1:
This record from Alexandria describes crystalline Zr2InTcTe at its relaxed geometry. The functional is PBE-GGA.

CIF file:
```
data_Zr2InTcTe
_cell_length_a 5.3179
_cell_length_b 5.4104
_cell_length_c 5.3179
_cell_angle_alpha 90.00
_cell_angle_beta 90.00
_cell_angle_gamma 90.00
_space_group_name_H-M_alt 'P 1'
_space_group_IT_number 1
loop_
_space_group_symop_operation_xyz
'x,y,z'
loop_
_atom_site_label
_atom_site_type_symbol
_atom_site_fract_x
_atom_site_fract_y
_atom_site_fract_z
Tc1 Tc 0.5000 0.5000 0.5000
Zr1 Zr 0.0000 0.0000 0.5000
Te1 Te 0.0000 0.5000 0.0000
Zr2 Zr 0.5000 0.0000 0.0000
In1 In 0.0000 0.0000 0.0000
```

---

Entry 2:
# Th8In2Tc PBE-GGA optimized geometry
# - ΔH_f (0 K): -70 meV per atom
# - Relative energy among the computed polymorphs: 0 meV/atom
data_Th8In2Tc
_cell_length_a 4.9254
_cell_length_b 4.9254
_cell_length_c 13.5929
_cell_angle_alpha 90.00
_cell_angle_beta 90.00
_cell_angle_gamma 90.00
_space_group_name_H-M_alt 'P 1'
_space_group_IT_number 1
loop_
_space_group_symop_operation_xyz
'x,y,z'
loop_
_atom_site_label
_atom_site_type_symbol
_atom_site_fract_x
_atom_site_fract_y
_atom_site_fract_z
In1 In 0.0000 0.0000 0.3168
Th1 Th 0.5000 0.0000 0.1302
Th2 Th 0.0000 0.5000 0.5000
Th3 Th 0.5000 0.0000 0.5000
Tc1 Tc 0.0000 0.0000 0.0000
In2 In 0.0000 0.0000 0.6832
Th4 Th 0.0000 0.5000 0.1302
Th5 Th 0.5000 0.5000 0.3151
Th6 Th 0.0000 0.5000 0.8698
Th7 Th 0.5000 0.5000 0.6849
Th8 Th 0.5000 0.0000 0.8698

---

Entry 3:
# Th12InTc6 PBE-GGA optimized geometry
# - ΔH_f (0 K): -66 meV per atom
data_Th12InTc6
_cell_length_a 8.7778
_cell_length_b 8.7778
_cell_length_c 8.7778
_cell_angle_alpha 109.47
_cell_angle_beta 109.47
_cell_angle_gamma 109.47
_space_group_name_H-M_alt 'P 1'
_space_group_IT_number 1
loop_
_space_group_symop_operation_xyz
'x,y,z'
loop_
_atom_site_label
_atom_site_type_symbol
_atom_site_fract_x
_atom_site_fract_y
_atom_site_fract_z
Th1 Th 0.1854 0.3049 0.4904
In1 In 0.0000 0.0000 0.0000
Tc1 Tc 0.3584 0.5000 0.8584
Tc2 Tc 0.5000 0.1416 0.6416
Th2 Th 0.3049 0.1195 0.8146
Th3 Th 0.1195 0.8146 0.3049
Tc3 Tc 0.1416 0.6416 0.5000
Tc4 Tc 0.6416 0.5000 0.1416
Th4 Th 0.6951 0.5096 0.8146
Th5 Th 0.6951 0.8805 0.1854
Tc5 Tc 0.5000 0.8584 0.3584
Th6 Th 0.8146 0.3049 0.1195
Th7 Th 0.5096 0.8146 0.6951
Tc6 Tc 0.8584 0.3584 0.5000
Th8 Th 0.3049 0.4904 0.1854
Th9 Th 0.4904 0.1854 0.3049
Th10 Th 0.8146 0.6951 0.5096
Th11 Th 0.8805 0.1854 0.6951
Th12 Th 0.1854 0.6951 0.8805

---

Entry 4:
# Th2InTc PBE-GGA optimized geometry
# - ΔH_f (0 K): -8 meV per atom
# - Relative energy among the computed polymorphs: 205 meV/atom
data_Th2InTc
_cell_length_a 5.2581
_cell_length_b 5.2581
_cell_length_c 5.2581
_cell_angle_alpha 60.00
_cell_angle_beta 60.00
_cell_angle_gamma 60.00
_space_group_name_H-M_alt 'P 1'
_space_group_IT_number 1
loop_
_space_group_symop_operation_xyz
'x,y,z'
loop_
_atom_site_label
_atom_site_type_symbol
_atom_site_fract_x
_atom_site_fract_y
_atom_site_fract_z
In1 In 0.5000 0.5000 0.5000
Th1 Th 0.7500 0.7500 0.7500
Th2 Th 0.2500 0.2500 0.2500
Tc1 Tc 0.0000 0.0000 0.0000

---

| no. | total energy (eV per atom) |
| --- | --- |
| 1 | -5.04 |
| 2 | -6.91 |
| 3 | -8.17 |
| 4 | -6.99 |